A plane-wave DFT calculation with PBE+U was carried out for a relaxed LaNiO2 crystal.

a = 4.5009 Å, b = 4.5919 Å, c = 6.5001 Å
α = 89.92°, β = 69.75°, γ = 89.78°
Sites, in units of the cell vectors:
La1 0.0000 0.0000 0.0000
La2 0.3309 0.4999 0.3384
Ni1 0.6305 0.5013 0.7390
Ni2 0.6901 0.0013 0.6196
O1 0.3605 0.7465 0.6656
O2 0.4186 0.9997 0.1629
O3 0.9147 0.4998 0.1710
O4 0.9736 0.2558 0.6665

Results
* ρ: 6.0 g/cm³
* total DFT energy (no corrections): -6.473 eV per atom